1.
CrCo2Si | PBE-GGA | relaxed

abc: 3.5155 3.5155 7.1261
angles: 90.00 90.00 90.00
With the nearest neighbours (Å) after each atom.
Sites, in units of the cell vectors:
Cr: 0.0000 0.0000 0.0000  8 Co 2.49-2.50, 4 Si 2.50
Cr: 0.5000 0.5000 0.5000  8 Co 2.49-2.50, 4 Si 2.50
Co: 0.0000 0.0000 0.5000  4 Cr 2.49, 4 Co 2.50, 4 Si 2.50
Co: 0.0000 0.5000 0.2500  4 Si 2.49, 4 Cr 2.50, 4 Co 2.50
Co: 0.5000 0.0000 0.7500  4 Si 2.49, 4 Cr 2.50, 4 Co 2.50
Co: 0.5000 0.5000 0.0000  4 Cr 2.49, 4 Co 2.50, 4 Si 2.50
Si: 0.0000 0.5000 0.7500  8 Co 2.49-2.50, 4 Cr 2.50
Si: 0.5000 0.0000 0.2500  8 Co 2.49-2.50, 4 Cr 2.50

Results
formation energy from raw total energies: -0.225 eV per atom
magnetization: 2.28 μB/cell
space-group type: I-4m2, No. 119
uncorrected energy: -60.32 eV for the cell shown

=====

2.
CrCoSi | PBE-GGA | relaxed

abc: 2.5863 2.5863 5.8857
angles: 90.00 90.00 120.00
With the nearest neighbours (Å) after each atom.
Sites, in units of the cell vectors:
Cr: 0.0000 0.0000 0.0000  3 Co 2.47, 3 Si 2.52, 6 Cr 2.59
Co: 0.6667 0.3333 0.6664  3 Si 2.41, 3 Cr 2.47, 6 Co 2.59
Si: 0.3333 0.6667 0.3458  3 Co 2.41, 3 Cr 2.52, 6 Si 2.59

Results
formation energy from raw total energies: -0.082 eV per atom
magnetization: 0.64 μB/cell
space-group type: P3m1, No. 156
uncorrected energy: -22.40 eV for the cell shown

=====

3.
CrCo2Si | PBE-GGA | relaxed

abc: 2.5567 2.5567 23.3175
angles: 90.00 90.00 120.00
With the nearest neighbours (Å) after each atom.
Sites, in units of the cell vectors:
Cr: 0.0000 0.0000 0.0000  6 Co 2.50, 6 Cr 2.56
Cr: 0.3333 0.6667 0.6667  6 Co 2.50, 6 Cr 2.56
Cr: 0.6667 0.3333 0.3333  6 Co 2.50, 6 Cr 2.56
Co: 0.0000 0.0000 0.2468  3 Si 2.38, 3 Cr 2.50, 6 Co 2.56
Co: 0.0000 0.0000 0.7532  3 Si 2.38, 3 Cr 2.50, 6 Co 2.56
Co: 0.3333 0.6667 0.4199  3 Si 2.38, 3 Cr 2.50, 6 Co 2.56
Co: 0.3333 0.6667 0.9135  3 Si 2.38, 3 Cr 2.50, 6 Co 2.56
Co: 0.6667 0.3333 0.0865  3 Si 2.38, 3 Cr 2.50, 6 Co 2.56
Co: 0.6667 0.3333 0.5801  3 Si 2.38, 3 Cr 2.50, 6 Co 2.56
Si: 0.0000 0.0000 0.5000  6 Co 2.38, 6 Si 2.56
Si: 0.3333 0.6667 0.1667  6 Co 2.38, 6 Si 2.56
Si: 0.6667 0.3333 0.8333  6 Co 2.38, 6 Si 2.56

Results
formation energy from raw total energies: -0.071 eV per atom
magnetization: 0.00 μB/cell
space-group type: R-3m, No. 166
uncorrected energy: -88.63 eV for the cell shown

=====

4.
CrCo2Si | PBE-GGA | relaxed

abc: 5.1572 6.5979 2.5714
angles: 90.00 90.00 90.00
With the nearest neighbours (Å) after each atom.
Sites, in units of the cell vectors:
Cr: 0.0000 0.0000 0.0000  8 Co 2.46, 2 Cr 2.57, 2 Si 2.58
Cr: 0.5000 0.5000 0.0000  8 Co 2.46, 2 Cr 2.57, 2 Si 2.58
Co: 0.2500 0.2500 0.5000  4 Cr 2.46, 4 Si 2.46, 4 Co 2.57-2.58
Co: 0.2500 0.7500 0.5000  4 Cr 2.46, 4 Si 2.46, 4 Co 2.57-2.58
Co: 0.7500 0.2500 0.5000  4 Cr 2.46, 4 Si 2.46, 4 Co 2.57-2.58
Co: 0.7500 0.7500 0.5000  4 Si 2.46, 4 Cr 2.46, 4 Co 2.57-2.58
Si: 0.0000 0.5000 0.0000  8 Co 2.46, 2 Si 2.57, 2 Cr 2.58
Si: 0.5000 0.0000 0.0000  8 Co 2.46, 2 Si 2.57, 2 Cr 2.58

Results
formation energy from raw total energies: -0.203 eV per atom
magnetization: 2.89 μB/cell
space-group type: Cmmm, No. 65
uncorrected energy: -60.14 eV for the cell shown

=====

5.
CrCo2Si | PBE-GGA | relaxed

abc: 3.4998 3.4998 15.9298
angles: 90.00 90.00 90.00
With the nearest neighbours (Å) after each atom.
Sites, in units of the cell vectors:
Cr: 0.0000 0.0000 0.0000  4 Co 2.36, 4 Si 2.47
Cr: 0.0000 0.5000 0.2500  4 Co 2.36, 4 Si 2.47
Cr: 0.5000 0.0000 0.7500  4 Co 2.36, 4 Si 2.47
Cr: 0.5000 0.5000 0.5000  4 Co 2.36, 4 Si 2.47
Co: 0.2415 0.2500 0.6250  2 Si 2.33, 2 Cr 2.36, 4 Co 2.43-2.52
Co: 0.2500 0.7415 0.8750  2 Si 2.33, 2 Cr 2.36, 4 Co 2.43-2.52
Co: 0.2500 0.7585 0.3750  2 Si 2.33, 2 Cr 2.36, 4 Co 2.43-2.52
Co: 0.2585 0.2500 0.1250  2 Si 2.33, 2 Cr 2.36, 4 Co 2.43-2.52
Co: 0.7415 0.7500 0.1250  2 Si 2.33, 2 Cr 2.36, 4 Co 2.43-2.52
Co: 0.7500 0.2415 0.3750  2 Si 2.33, 2 Cr 2.36, 4 Co 2.43-2.52
Co: 0.7500 0.2585 0.8750  2 Si 2.33, 2 Cr 2.36, 4 Co 2.43-2.52
Co: 0.7585 0.7500 0.6250  2 Si 2.33, 2 Cr 2.36, 4 Co 2.43-2.52
Si: 0.0000 0.0000 0.5000  4 Co 2.33, 4 Cr 2.47
Si: 0.0000 0.5000 0.7500  4 Co 2.33, 4 Cr 2.47
Si: 0.5000 0.0000 0.2500  4 Co 2.33, 4 Cr 2.47
Si: 0.5000 0.5000 0.0000  4 Co 2.33, 4 Cr 2.47

Results
formation energy from raw total energies: 0.255 eV per atom
magnetization: 1.44 μB/cell
space-group type: I-42d, No. 122
uncorrected energy: -112.96 eV for the cell shown

=====

6.
CrCo2Si | PBE-GGA | relaxed

abc: 8.0050 2.5723 4.3619
angles: 90.00 99.84 90.00
With the nearest neighbours (Å) after each atom.
Sites, in units of the cell vectors:
Cr: 0.0000 0.0000 0.0000  6 Co 2.41-2.50, 4 Si 2.53, 2 Cr 2.57
Cr: 0.5000 0.5000 0.0000  6 Co 2.41-2.50, 4 Si 2.53, 2 Cr 2.57
Co: 0.2454 0.0000 0.7492  3 Cr 2.41-2.50, 3 Si 2.44-2.47, 6 Co 2.53-2.57
Co: 0.2546 0.5000 0.2508  3 Cr 2.41-2.50, 3 Si 2.44-2.47, 6 Co 2.53-2.57
Co: 0.7454 0.5000 0.7492  3 Cr 2.41-2.50, 3 Si 2.44-2.47, 6 Co 2.53-2.57
Co: 0.7546 0.0000 0.2508  3 Cr 2.41-2.50, 3 Si 2.44-2.47, 6 Co 2.53-2.57
Si: 0.0000 0.5000 0.5000  6 Co 2.44-2.47, 4 Cr 2.53, 2 Si 2.57
Si: 0.5000 0.0000 0.5000  6 Co 2.44-2.47, 4 Cr 2.53, 2 Si 2.57

Results
formation energy from raw total energies: -0.171 eV per atom
magnetization: 3.89 μB/cell
space-group type: C2/m, No. 12
uncorrected energy: -59.88 eV for the cell shown